Record 1
Here is SmHgPO after structural relaxation from the Open Quantum Materials Database. Energies are from GGA-PBE.

CIF file:
```
data_SmHgPO
_cell_length_a 5.8304
_cell_length_b 5.8304
_cell_length_c 4.7525
_cell_angle_alpha 90.00
_cell_angle_beta 90.00
_cell_angle_gamma 90.00
_symmetry_space_group_name_H-M 'P 1'
_symmetry_Int_Tables_number 1
loop_
_symmetry_equiv_pos_as_xyz
'x,y,z'
loop_
_atom_site_label
_atom_site_fract_x
_atom_site_fract_y
_atom_site_fract_z
P1 0.0000 0.5000 0.5058
P2 0.5000 0.0000 0.4942
Hg1 0.5000 0.0000 0.9938
Hg2 0.0000 0.5000 0.0062
Sm1 0.0000 0.0000 0.5000
Sm2 0.5000 0.5000 0.5000
O1 0.0000 0.0000 0.0000
O2 0.5000 0.5000 0.0000
```

Results
* energy relative to the lowest polymorph listed for this composition: 0.401 eV/atom


Record 2
Here is LaHo2Mg3Ir2Pt after structural relaxation from the Open Quantum Materials Database. Energies are from GGA-PBE.

CIF file:
```
data_LaHo2Mg3Ir2Pt
_cell_length_a 4.0635
_cell_length_b 7.3673
_cell_length_c 7.3673
_cell_angle_alpha 119.62
_cell_angle_beta 90.00
_cell_angle_gamma 90.00
_symmetry_space_group_name_H-M 'P 1'
_symmetry_Int_Tables_number 1
loop_
_symmetry_equiv_pos_as_xyz
'x,y,z'
loop_
_atom_site_label
_atom_site_fract_x
_atom_site_fract_y
_atom_site_fract_z
Ho1 0.0000 0.4114 0.9992
Ho2 0.0000 0.9992 0.4114
Ir1 0.5000 0.6695 0.3296
Ir2 0.5000 0.3296 0.6695
La1 0.0000 0.5811 0.5811
Mg1 0.5000 0.2417 0.2417
Mg2 0.5000 0.7546 0.0052
Mg3 0.5000 0.0052 0.7546
Pt1 0.0000 0.0077 0.0077
```

Results
* raw total energy: -49.4 eV/cell


Record 3
Here is H6W after structural relaxation from the Open Quantum Materials Database. Energies are from GGA-PBE.

CIF file:
```
data_H6W
_cell_length_a 5.3188
_cell_length_b 5.3188
_cell_length_c 5.3188
_cell_angle_alpha 33.23
_cell_angle_beta 33.23
_cell_angle_gamma 33.23
_symmetry_space_group_name_H-M 'P 1'
_symmetry_Int_Tables_number 1
loop_
_symmetry_equiv_pos_as_xyz
'x,y,z'
loop_
_atom_site_label
_atom_site_fract_x
_atom_site_fract_y
_atom_site_fract_z
H1 0.3854 0.8189 0.0973
H2 0.1811 0.9027 0.6146
H3 0.0973 0.3854 0.8189
H4 0.6146 0.1811 0.9027
H5 0.9027 0.6146 0.1811
H6 0.8189 0.0973 0.3854
W1 0.0000 0.0000 0.0000
```

Results
* energy relative to the lowest polymorph listed for this composition: 0.378 eV/atom


Record 4
Here is YTlFeTe3 after structural relaxation from the Open Quantum Materials Database. Energies are from GGA-PBE.

CIF file:
```
data_YTlFeTe3
_cell_length_a 11.4303
_cell_length_b 4.3138
_cell_length_c 15.6160
_cell_angle_alpha 90.00
_cell_angle_beta 90.00
_cell_angle_gamma 90.00
_symmetry_space_group_name_H-M 'P 1'
_symmetry_Int_Tables_number 1
loop_
_symmetry_equiv_pos_as_xyz
'x,y,z'
loop_
_atom_site_label
_atom_site_fract_x
_atom_site_fract_y
_atom_site_fract_z
Te1 0.9136 0.2500 0.1116
Te2 0.2650 0.2500 0.6780
Te3 0.2350 0.7500 0.1780
Te4 0.7350 0.7500 0.3220
Te5 0.7650 0.2500 0.8220
Te6 0.9531 0.7500 0.6232
Te7 0.4136 0.2500 0.3884
Te8 0.4531 0.7500 0.8768
Te9 0.5864 0.7500 0.6116
Te10 0.0864 0.7500 0.8884
Te11 0.5469 0.2500 0.1232
Te12 0.0469 0.2500 0.3768
Y1 0.9812 0.7500 0.2432
Y2 0.5188 0.2500 0.7432
Y3 0.0188 0.2500 0.7568
Y4 0.4812 0.7500 0.2568
Tl1 0.2789 0.2500 0.9961
Tl2 0.7211 0.7500 0.0039
Tl3 0.7789 0.2500 0.5039
Tl4 0.2211 0.7500 0.4961
Fe1 0.7361 0.2500 0.2188
Fe2 0.7639 0.7500 0.7188
Fe3 0.2639 0.7500 0.7812
Fe4 0.2361 0.2500 0.2812
```

Results
* energy relative to the lowest polymorph listed for this composition: 0.019 eV/atom


Record 5
Here is AcPuMo after structural relaxation from the Open Quantum Materials Database. Energies are from GGA-PBE.

CIF file:
```
data_AcPuMo
_cell_length_a 4.9052
_cell_length_b 4.9052
_cell_length_c 4.9052
_cell_angle_alpha 60.00
_cell_angle_beta 60.00
_cell_angle_gamma 60.00
_symmetry_space_group_name_H-M 'P 1'
_symmetry_Int_Tables_number 1
loop_
_symmetry_equiv_pos_as_xyz
'x,y,z'
loop_
_atom_site_label
_atom_site_fract_x
_atom_site_fract_y
_atom_site_fract_z
Ac1 0.2500 0.2500 0.2500
Mo1 0.0000 0.0000 0.0000
Pu1 0.7500 0.7500 0.7500
```

Results
* formation energy from the elements: 0.736 eV per atom
* energy relative to the lowest polymorph listed for this composition: 0.000 eV/atom


Record 6
Here is LiBeGeAu after structural relaxation from the Open Quantum Materials Database. Energies are from GGA-PBE.

CIF file:
```
data_LiBeGeAu
_cell_length_a 4.2730
_cell_length_b 4.2730
_cell_length_c 4.2730
_cell_angle_alpha 60.00
_cell_angle_beta 60.00
_cell_angle_gamma 60.00
_symmetry_space_group_name_H-M 'P 1'
_symmetry_Int_Tables_number 1
loop_
_symmetry_equiv_pos_as_xyz
'x,y,z'
loop_
_atom_site_label
_atom_site_fract_x
_atom_site_fract_y
_atom_site_fract_z
Au1 0.7500 0.7500 0.7500
Be1 0.0000 0.0000 0.0000
Li1 0.5000 0.5000 0.5000
Ge1 0.2500 0.2500 0.2500
```

Results
* energy relative to the lowest polymorph listed for this composition: 0.000 eV/atom


Record 7
Here is TlCoCuTe2S after structural relaxation from the Open Quantum Materials Database. Energies are from GGA-PBE.

CIF file:
```
data_TlCoCuTe2S
_cell_length_a 7.7615
_cell_length_b 7.7615
_cell_length_c 9.5399
_cell_angle_alpha 90.00
_cell_angle_beta 90.00
_cell_angle_gamma 151.96
_symmetry_space_group_name_H-M 'P 1'
_symmetry_Int_Tables_number 1
loop_
_symmetry_equiv_pos_as_xyz
'x,y,z'
loop_
_atom_site_label
_atom_site_fract_x
_atom_site_fract_y
_atom_site_fract_z
Te1 0.6190 0.3810 0.5341
Te2 0.6190 0.3810 0.9659
Te3 0.3810 0.6190 0.4659
Te4 0.3810 0.6190 0.0341
Cu1 0.5205 0.4795 0.7500
Cu2 0.4795 0.5205 0.2500
S1 0.0603 0.9397 0.2500
S2 0.9397 0.0603 0.7500
Co1 0.0000 0.0000 0.5000
Co2 0.0000 0.0000 0.0000
Tl1 0.2560 0.7440 0.7500
Tl2 0.7440 0.2560 0.2500
```

Results
* raw total energy: -47.9 eV/cell


Record 8
Here is CsZrAgSe3 after structural relaxation from the Open Quantum Materials Database. Energies are from GGA-PBE.

CIF file:
```
data_CsZrAgSe3
_cell_length_a 9.2597
_cell_length_b 9.2597
_cell_length_c 9.4786
_cell_angle_alpha 96.94
_cell_angle_beta 96.94
_cell_angle_gamma 24.72
_symmetry_space_group_name_H-M 'P 1'
_symmetry_Int_Tables_number 1
loop_
_symmetry_equiv_pos_as_xyz
'x,y,z'
loop_
_atom_site_label
_atom_site_fract_x
_atom_site_fract_y
_atom_site_fract_z
Cs1 0.1486 0.1486 0.0703
Cs2 0.8514 0.8514 0.9297
Ag1 0.4798 0.4798 0.2730
Ag2 0.5202 0.5202 0.7270
Se1 0.3163 0.3163 0.6175
Se2 0.5000 0.5000 0.0000
Se3 0.0000 0.0000 0.5000
Se4 0.6837 0.6837 0.3825
Se5 0.6679 0.6679 0.7614
Se6 0.3321 0.3321 0.2386
Zr1 0.1569 0.1569 0.5686
Zr2 0.8431 0.8431 0.4314
```

Results
* energy relative to the lowest polymorph listed for this composition: 0.177 eV/atom